Ti2ZnOs (GGA-PBE, relaxed); symmetry = P4/mmm; energy of formation = -453 meV/atom; Fermi-level density of states = 0.3227 states/eV/atom
1.0
3.1062 0.0000 0.0000
0.0000 3.1062 0.0000
0.0000 0.0000 6.2794
Ti Zn Os
2 1 1
Cartesian
0.0000 0.0000 1.5242
0.0000 0.0000 4.7552
1.5531 1.5531 3.1397
1.5531 1.5531 0.0000